Model i:
{
  "formula": "Na3AgPb",
  "functional": "PBE-GGA",
  "state": "optimized geometry",
  "lattice_angstrom": [[-1.295, -4.006, -3.046], [5.528, 0.778, -3.374], [5.702, -4.776, 3.857]],
  "species": ["Pb", "Ag", "Na", "Ag", "Na", "Na", "Pb", "Na", "Na", "Na"],
  "fractional_positions": [[0.250, 0.333, 0.551], [0.750, 0.911, 0.081], [0.250, 0.603, 0.133], [0.250, 0.089, 0.919], [0.250, 0.734, 0.711], [0.750, 0.397, 0.867], [0.750, 0.667, 0.449], [0.750, 0.266, 0.289], [0.750, 0.017, 0.704], [0.250, 0.983, 0.296]],
  "space_group": "P2_1/m"
}



Model ii:
{
  "formula": "Na3AgPb",
  "functional": "PBE-GGA",
  "state": "optimized geometry",
  "lattice_angstrom": [[5.502, 0.000, 0.000], [0.000, 5.502, 0.000], [0.000, 0.000, 5.502]],
  "species": ["Na", "Ag", "Pb", "Na", "Na"],
  "fractional_positions": [[0.000, 0.000, 0.500], [0.000, 0.000, 0.000], [0.500, 0.500, 0.500], [0.500, 0.000, 0.000], [0.000, 0.500, 0.000]],
  "space_group": "Pm-3m"
}



Relative stability in meV per atom, measured from the most stable structure: model i 0; model ii 255



Model i:
{
  "formula": "NaAg4Pd2",
  "functional": "PBE-GGA",
  "state": "optimized geometry",
  "lattice_angstrom": [[-2.544, -0.408, -1.207], [1.437, -6.952, -0.682], [-1.769, 1.930, 6.430]],
  "species": ["Pd", "Na", "Pd", "Ag", "Ag", "Ag", "Ag"],
  "fractional_positions": [[0.223, 0.141, 0.446], [0.000, 0.000, 0.000], [0.777, 0.859, 0.554], [0.080, 0.699, 0.161], [0.355, 0.593, 0.710], [0.645, 0.407, 0.290], [0.920, 0.301, 0.839]],
  "space_group": "C2/m"
}



Model ii:
{
  "formula": "NaAg4Pd2",
  "functional": "PBE-GGA",
  "state": "optimized geometry",
  "lattice_angstrom": [[-4.173, -3.177, -2.085], [0.971, -5.209, -1.290], [-1.745, 1.300, 5.207]],
  "species": ["Ag", "Na", "Pd", "Ag", "Pd", "Ag", "Ag"],
  "fractional_positions": [[0.407, 0.297, 0.000], [0.000, 0.000, 0.000], [0.500, 0.250, 0.500], [0.000, 0.297, 0.593], [0.500, 0.750, 0.500], [0.000, 0.703, 0.407], [0.593, 0.703, 0.000]],
  "space_group": "C2/m"
}



Relative stability in meV per atom, measured from the most stable structure: model i 56; model ii 0



Model i:
{
  "formula": "NaAg2Pd2",
  "functional": "PBE-GGA",
  "state": "optimized geometry",
  "lattice_angstrom": [[-3.520, 2.930, -6.553], [4.864, -4.394, -4.577], [-1.938, -2.204, 0.056]],
  "species": ["Ag", "Ag", "Ag", "Na", "Pd", "Pd", "Na", "Pd", "Ag", "Pd"],
  "fractional_positions": [[0.172, 0.672, 0.500], [0.828, 0.328, 0.500], [0.672, 0.828, 0.500], [0.000, 0.000, 0.000], [0.624, 0.124, 0.000], [0.124, 0.376, 0.000], [0.500, 0.500, 0.000], [0.876, 0.624, 0.000], [0.328, 0.172, 0.500], [0.376, 0.876, 0.000]],
  "space_group": "P4/mbm"
}



Model ii:
{
  "formula": "NaAg2Pd2",
  "functional": "PBE-GGA",
  "state": "optimized geometry",
  "lattice_angstrom": [[-0.069, 4.313, 6.816], [5.033, -5.304, 3.408], [2.257, 1.533, -0.947]],
  "species": ["Ag", "Pd", "Ag", "Na", "Pd", "Pd", "Ag", "Ag", "Pd", "Na"],
  "fractional_positions": [[0.629, 0.129, 0.000], [0.666, 0.834, 0.500], [0.871, 0.629, 0.000], [0.500, 0.500, 0.000], [0.334, 0.166, 0.500], [0.834, 0.334, 0.500], [0.371, 0.871, 0.000], [0.129, 0.371, 0.000], [0.166, 0.666, 0.500], [0.000, 0.000, 0.000]],
  "space_group": "P4/mbm"
}



Model iii:
{
  "formula": "NaAg2Pd2",
  "functional": "PBE-GGA",
  "state": "optimized geometry",
  "lattice_angstrom": [[-4.589, 4.318, -1.144], [-2.469, -1.086, 5.808], [6.460, 2.009, -0.408]],
  "species": ["Pd", "Pd", "Pd", "Ag", "Na", "Ag", "Ag", "Ag", "Pd", "Na"],
  "fractional_positions": [[0.429, 0.133, 0.858], [0.383, 0.179, 0.358], [0.975, 0.179, 0.358], [0.692, 0.481, 0.384], [0.939, 0.939, 0.877], [0.153, 0.442, 0.884], [0.692, 0.903, 0.384], [0.731, 0.442, 0.884], [0.429, 0.725, 0.858], [0.189, 0.689, 0.377]],
  "space_group": "I4_1md"
}



Relative stability in meV per atom, measured from the most stable structure: model i 0; model ii 18; model iii 339



Model i:
{
  "formula": "NaAg6Pd3",
  "functional": "PBE-GGA",
  "state": "optimized geometry",
  "lattice_angstrom": [[-0.053, -4.270, -3.260], [8.360, -2.708, 3.412], [-8.741, -2.073, 2.857]],
  "species": ["Pd", "Pd", "Pd", "Pd", "Ag", "Ag", "Ag", "Ag", "Ag", "Ag", "Ag", "Na", "Ag", "Ag", "Ag", "Pd", "Ag", "Ag", "Na", "Pd"],
  "fractional_positions": [[0.681, 0.598, 0.402], [0.501, 0.938, 0.702], [0.001, 0.702, 0.938], [0.181, 0.402, 0.598], [0.816, 0.546, 0.084], [0.075, 0.355, 0.276], [0.242, 0.679, 0.321], [0.280, 0.994, 0.006], [0.742, 0.321, 0.679], [0.575, 0.645, 0.724], [0.316, 0.084, 0.546], [0.001, 0.156, 0.844], [0.816, 0.916, 0.454], [0.075, 0.724, 0.645], [0.575, 0.276, 0.355], [0.501, 0.298, 0.062], [0.780, 0.006, 0.994], [0.316, 0.454, 0.916], [0.501, 0.844, 0.156], [0.001, 0.062, 0.298]],
  "space_group": "Cmc2_1"
}



Model ii:
{
  "formula": "NaAg6Pd3",
  "functional": "PBE-GGA",
  "state": "optimized geometry",
  "lattice_angstrom": [[7.026, 0.000, 0.000], [0.000, 6.937, -3.293], [0.000, -0.143, 7.677]],
  "species": ["Pd", "Pd", "Ag", "Ag", "Pd", "Ag", "Ag", "Ag", "Pd", "Ag", "Ag", "Na", "Na", "Ag", "Ag", "Ag", "Pd", "Pd", "Ag", "Ag"],
  "fractional_positions": [[0.422, 0.959, 0.702], [0.422, 0.298, 0.041], [0.780, 0.852, 0.516], [0.117, 0.359, 0.281], [0.922, 0.702, 0.959], [0.729, 0.034, 0.966], [0.280, 0.148, 0.484], [0.229, 0.966, 0.034], [0.442, 0.609, 0.391], [0.117, 0.719, 0.641], [0.617, 0.281, 0.359], [0.547, 0.822, 0.178], [0.047, 0.178, 0.822], [0.280, 0.516, 0.852], [0.780, 0.484, 0.148], [0.131, 0.730, 0.270], [0.922, 0.041, 0.298], [0.942, 0.391, 0.609], [0.617, 0.641, 0.719], [0.631, 0.270, 0.730]],
  "space_group": "Cmc2_1"
}



Relative stability in meV per atom, measured from the most stable structure: model i 0; model ii 26



Model i:
{
  "formula": "NaAgPd3",
  "functional": "PBE-GGA",
  "state": "optimized geometry",
  "lattice_angstrom": [[5.008, 0.000, 0.000], [0.000, 5.008, 0.000], [0.000, 0.000, 5.008]],
  "species": ["Ag", "Na", "Pd", "Pd", "Pd"],
  "fractional_positions": [[0.000, 0.000, 0.000], [0.500, 0.500, 0.500], [0.000, 0.500, 0.000], [0.000, 0.000, 0.500], [0.500, 0.000, 0.000]],
  "space_group": "Pm-3m"
}



Model ii:
{
  "formula": "NaAgPd3",
  "functional": "PBE-GGA",
  "state": "optimized geometry",
  "lattice_angstrom": [[5.157, 0.000, 0.000], [0.000, 5.189, 1.425], [0.000, 0.795, 7.265]],
  "species": ["Pd", "Pd", "Ag", "Pd", "Pd", "Na", "Na", "Pd", "Pd", "Ag"],
  "fractional_positions": [[0.500, 0.000, 0.000], [0.250, 0.397, 0.703], [0.250, 0.821, 0.358], [0.750, 0.603, 0.297], [0.000, 0.000, 0.000], [0.750, 0.576, 0.848], [0.250, 0.424, 0.152], [0.250, 0.901, 0.703], [0.750, 0.099, 0.297], [0.750, 0.179, 0.642]],
  "space_group": "Cmcm"
}



Relative stability in meV per atom, measured from the most stable structure: model i 658; model ii 0



Model i:
{
  "formula": "NaPmAg",
  "functional": "PBE-GGA",
  "state": "optimized geometry",
  "lattice_angstrom": [[-2.044, 3.110, -0.173], [-3.099, -2.009, 0.494], [3.709, 0.928, 12.993]],
  "species": ["Na", "Pm", "Ag", "Ag", "Na", "Pm"],
  "fractional_positions": [[0.567, 0.567, 0.135], [0.702, 0.702, 0.405], [0.862, 0.862, 0.724], [0.138, 0.138, 0.276], [0.433, 0.433, 0.865], [0.298, 0.298, 0.595]],
  "space_group": "I4/mmm"
}



Model ii:
{
  "formula": "NaPmAg",
  "functional": "PBE-GGA",
  "state": "optimized geometry",
  "lattice_angstrom": [[-1.272, -2.100, 2.625], [3.101, -1.816, 0.049], [1.481, 6.170, 3.193]],
  "species": ["Pm", "Na", "Ag"],
  "fractional_positions": [[0.306, 0.306, 0.612], [0.025, 0.025, 0.050], [0.669, 0.669, 0.337]],
  "space_group": "I4mm"
}



Model iii:
{
  "formula": "NaPmAg",
  "functional": "PBE-GGA",
  "state": "optimized geometry",
  "lattice_angstrom": [[-0.201, -3.048, 1.474], [1.560, -2.224, -4.387], [3.471, 1.474, 3.522]],
  "species": ["Ag", "Pm", "Na"],
  "fractional_positions": [[0.499, 0.667, 0.333], [0.000, 0.000, 0.000], [0.501, 0.333, 0.667]],
  "space_group": "P3m1"
}



Relative stability in meV per atom, measured from the most stable structure: model i 0; model ii 80; model iii 137



Model i:
{
  "formula": "NaPmAg2",
  "functional": "PBE-GGA",
  "state": "optimized geometry",
  "lattice_angstrom": [[-3.879, 3.374, -0.345], [-4.074, -0.429, 3.125], [-0.749, 3.457, 3.746]],
  "species": ["Ag", "Pm", "Na", "Ag"],
  "fractional_positions": [[0.250, 0.250, 0.250], [0.000, 0.000, 0.000], [0.500, 0.500, 0.500], [0.750, 0.750, 0.750]],
  "space_group": "Fm-3m"
}



Model ii:
{
  "formula": "NaPmAg2",
  "functional": "PBE-GGA",
  "state": "optimized geometry",
  "lattice_angstrom": [[-0.432, -3.155, -1.054], [1.794, -2.484, 1.364], [-6.762, -3.238, 7.122]],
  "species": ["Ag", "Na", "Ag", "Pm"],
  "fractional_positions": [[0.751, 0.751, 0.748], [0.500, 0.500, 0.500], [0.249, 0.249, 0.252], [0.000, 0.000, 0.000]],
  "space_group": "R-3m"
}



Relative stability in meV per atom, measured from the most stable structure: model i 0; model ii 176



Model i:
{
  "formula": "NaAgPt",
  "functional": "PBE-GGA",
  "state": "optimized geometry",
  "lattice_angstrom": [[-3.582, -2.548, 3.096], [1.804, -3.355, 3.996], [-0.573, 1.538, 5.271]],
  "species": ["Na", "Pt", "Pt", "Ag", "Na", "Ag"],
  "fractional_positions": [[0.118, 0.632, 0.632], [0.500, 0.000, 0.000], [0.000, 0.000, 0.000], [0.500, 0.500, 0.000], [0.882, 0.368, 0.368], [0.500, 0.000, 0.500]],
  "space_group": "Imma"
}



Model ii:
{
  "formula": "NaAgPt",
  "functional": "PBE-GGA",
  "state": "optimized geometry",
  "lattice_angstrom": [[5.210, -0.203, 0.442], [-0.803, 4.955, -0.269], [-1.471, -2.459, 4.128]],
  "species": ["Ag", "Pt", "Ag", "Na", "Na", "Pt"],
  "fractional_positions": [[0.000, 0.338, 0.661], [0.000, 0.000, 0.000], [0.000, 0.662, 0.339], [0.500, 0.836, 0.164], [0.500, 0.164, 0.836], [0.500, 0.500, 0.500]],
  "space_group": "C2/m"
}



Relative stability in meV per atom, measured from the most stable structure: model i 0; model ii 121



Model i:
{
  "formula": "NaAg2Pt",
  "functional": "PBE-GGA",
  "state": "optimized geometry",
  "lattice_angstrom": [[-2.696, 2.652, -1.007], [-0.302, -1.772, -3.856], [-3.068, -2.579, 1.425]],
  "species": ["Na", "Ag", "Ag", "Pt"],
  "fractional_positions": [[0.500, 0.000, 0.000], [0.000, 0.500, 0.000], [0.000, 0.000, 0.500], [0.500, 0.500, 0.500]],
  "space_group": "P4/mmm"
}



Model ii:
{
  "formula": "NaAg2Pt",
  "functional": "PBE-GGA",
  "state": "optimized geometry",
  "lattice_angstrom": [[0.000, 3.301, 3.301], [3.301, 0.000, 3.301], [3.301, 3.301, 0.000]],
  "species": ["Ag", "Ag", "Pt", "Na"],
  "fractional_positions": [[0.750, 0.750, 0.750], [0.250, 0.250, 0.250], [0.500, 0.500, 0.500], [0.000, 0.000, 0.000]],
  "space_group": "Fm-3m"
}



Model iii:
{
  "formula": "NaAg2Pt",
  "functional": "PBE-GGA",
  "state": "optimized geometry",
  "lattice_angstrom": [[2.888, 0.000, 0.000], [0.000, 2.888, 0.000], [0.000, 0.000, 8.864]],
  "species": ["Na", "Pt", "Ag", "Ag"],
  "fractional_positions": [[0.500, 0.500, 0.500], [0.500, 0.500, 0.000], [0.000, 0.000, 0.772], [0.000, 0.000, 0.228]],
  "space_group": "P4/mmm"
}



Relative stability in meV per atom, measured from the most stable structure: model i 0; model ii 23; model iii 71



Model i:
{
  "formula": "NaPuAg2",
  "functional": "PBE-GGA",
  "state": "optimized geometry",
  "lattice_angstrom": [[3.043, 0.000, 0.000], [0.000, 5.560, 0.000], [0.000, 0.000, 5.560]],
  "species": ["Ag", "Ag", "Pu", "Na"],
  "fractional_positions": [[0.000, 0.000, 0.500], [0.000, 0.500, 0.000], [0.500, 0.500, 0.500], [0.500, 0.000, 0.000]],
  "space_group": "P4/mmm"
}



Model ii:
{
  "formula": "NaPuAg2",
  "functional": "PBE-GGA",
  "state": "optimized geometry",
  "lattice_angstrom": [[-1.111, -1.410, -2.612], [0.835, -2.825, 1.169], [-8.141, -0.796, 3.893]],
  "species": ["Ag", "Pu", "Na", "Ag"],
  "fractional_positions": [[0.000, 0.000, 0.745], [0.500, 0.500, 0.000], [0.500, 0.500, 0.500], [0.000, 0.000, 0.255]],
  "space_group": "P4/mmm"
}



Model iii:
{
  "formula": "NaPuAg2",
  "functional": "PBE-GGA",
  "state": "optimized geometry",
  "lattice_angstrom": [[-0.968, 0.596, -2.926], [0.675, -2.008, -2.316], [-8.997, -5.641, 0.143]],
  "species": ["Na", "Ag", "Pu", "Ag"],
  "fractional_positions": [[0.000, 0.000, 0.000], [0.252, 0.252, 0.245], [0.500, 0.500, 0.500], [0.748, 0.748, 0.755]],
  "space_group": "R-3m"
}



Model iv:
{
  "formula": "NaPuAg2",
  "functional": "PBE-GGA",
  "state": "optimized geometry",
  "lattice_angstrom": [[-2.868, 2.311, 3.627], [0.910, -0.939, 5.002], [2.077, 3.676, 2.984]],
  "species": ["Ag", "Na", "Pu", "Ag"],
  "fractional_positions": [[0.250, 0.250, 0.250], [0.500, 0.500, 0.500], [0.000, 0.000, 0.000], [0.750, 0.750, 0.750]],
  "space_group": "Fm-3m"
}



Relative stability in meV per atom, measured from the most stable structure: model i 13; model ii 0; model iii 84; model iv 130